Density functional theory data (GGA-PBE) for LiTbScSn after structural relaxation.

- SG: F-43m, No. 216
- Energy relative to the elements: -155.6 kJ/mol of formula units
- Crystal system: cubic

a = 5.083 Å, b = 5.083 Å, c = 5.083 Å
α = 60.00°, β = 60.00°, γ = 60.00°
Element x y z (fractional)
1 Tb 0.000 0.000 0.000
2 Sn 0.250 0.250 0.250
3 Sc 0.500 0.500 0.500
4 Li 0.750 0.750 0.750

Density functional theory data (GGA-PBE) for YSc2Ni after structural relaxation.

- SG: Pnma, No. 62
- Energy relative to the elements: -98.3 kJ/mol of formula units
- Crystal system: orthorhombic

a = 6.019 Å, b = 6.531 Å, c = 9.173 Å
α = 90.00°, β = 90.00°, γ = 90.00°
Element x y z (fractional)
1 Sc 0.820 0.325 0.936
2 Ni 0.074 0.395 0.250
3 Y 0.871 0.021 0.250
4 Ni 0.426 0.895 0.250
5 Y 0.129 0.979 0.750
6 Y 0.629 0.521 0.250
7 Sc 0.320 0.175 0.436
8 Sc 0.820 0.325 0.564
9 Sc 0.680 0.825 0.936
10 Sc 0.320 0.175 0.064
11 Ni 0.926 0.605 0.750
12 Sc 0.680 0.825 0.564
13 Sc 0.180 0.675 0.436
14 Y 0.371 0.479 0.750
15 Ni 0.574 0.105 0.750
16 Sc 0.180 0.675 0.064

Density functional theory data (GGA-PBE) for Li3TlGe after structural relaxation.

- SG: Pm-3m, No. 221
- Energy relative to the elements: 176.7 kJ/mol of formula units
- Crystal system: cubic

a = 4.977 Å, b = 4.977 Å, c = 4.977 Å
α = 90.00°, β = 90.00°, γ = 90.00°
Element x y z (fractional)
1 Li 0.000 0.500 0.000
2 Ge 0.500 0.500 0.500
3 Li 0.500 0.000 0.000
4 Li 0.000 0.000 0.500
5 Tl 0.000 0.000 0.000

Density functional theory data (GGA-PBE) for SnPd3O6 after structural relaxation.

- SG: Cmmm, No. 65
- Crystal system: orthorhombic
- Uncorrected formation energy: -691 meV/atom

a = 3.486 Å, b = 6.121 Å, c = 6.121 Å
α = 110.72°, β = 90.00°, γ = 90.00°
Element x y z (fractional)
1 O 0.000 0.910 0.655
2 Sn 0.000 0.500 0.500
3 O 0.500 0.360 0.640
4 Pd 0.500 0.000 0.500
5 O 0.000 0.655 0.910
6 Pd 0.000 0.000 0.000
7 O 0.000 0.345 0.090
8 O 0.500 0.640 0.360
9 O 0.000 0.090 0.345
10 Pd 0.500 0.500 0.000

Density functional theory data (GGA-PBE) for Be2InB4 after structural relaxation.

- SG: I4/mmm, No. 139
- Energy relative to the elements: 1343.2 kJ/mol of formula units
- Crystal system: tetragonal

a = 4.484 Å, b = 4.484 Å, c = 5.953 Å
α = 67.88°, β = 67.88°, γ = 90.00°
Element x y z (fractional)
1 B 0.221 0.221 0.558
2 B 0.000 0.500 0.000
3 B 0.779 0.779 0.442
4 Be 0.599 0.599 0.803
5 Be 0.401 0.401 0.197
6 In 0.000 0.000 0.000
7 B 0.500 0.000 0.000

Density functional theory data (GGA-PBE) for Ho8MgSc2 after structural relaxation.

- SG: Amm2, No. 38
- Energy relative to the elements: 155.4 kJ/mol of formula units
- Crystal system: orthorhombic

a = 5.227 Å, b = 8.085 Å, c = 8.085 Å
α = 103.39°, β = 89.99°, γ = 89.99°
Element x y z (fractional)
1 Ho 0.500 0.031 0.308
2 Mg 0.000 0.003 0.003
3 Ho 0.500 0.308 0.031
4 Ho 0.000 0.339 0.339
5 Sc 0.500 0.385 0.621
6 Ho 0.000 0.746 0.261
7 Ho 0.000 0.261 0.746
8 Ho 0.500 0.698 0.975
9 Ho 0.000 0.667 0.667
10 Ho 0.500 0.975 0.698
11 Sc 0.500 0.621 0.385

Density functional theory data (GGA-PBE) for AcHoLuIn after structural relaxation.

- SG: F-43m, No. 216
- Energy relative to the elements: 2.4 kJ/mol of formula units
- Crystal system: cubic

a = 5.571 Å, b = 5.571 Å, c = 5.571 Å
α = 60.00°, β = 60.00°, γ = 60.00°
Site moments in Bohr magnetons follow the coordinates.
Element x y z (fractional)
1 Lu 0.000 0.000 0.000  0.23
2 In 0.250 0.250 0.250  0.01
3 Ho 0.500 0.500 0.500  0.28
4 Ac 0.750 0.750 0.750  0.18

Density functional theory data (GGA-PBE) for Pr2DyEr9 after structural relaxation.

- SG: P6/mmm, No. 191
- Energy relative to the elements: 90.4 kJ/mol of formula units
- Crystal system: hexagonal

a = 3.486 Å, b = 11.219 Å, c = 11.219 Å
α = 120.00°, β = 90.00°, γ = 90.00°
Element x y z (fractional)
1 Er 0.000 0.000 0.500
2 Er 0.500 0.347 0.174
3 Er 0.500 0.174 0.826
4 Er 0.500 0.826 0.174
5 Pr 0.000 0.333 0.667
6 Pr 0.000 0.667 0.333
7 Dy 0.000 0.000 0.000
8 Er 0.500 0.174 0.347
9 Er 0.000 0.500 0.000
10 Er 0.500 0.653 0.826
11 Er 0.000 0.500 0.500
12 Er 0.500 0.826 0.653

Density functional theory data (GGA-PBE) for InW2Br after structural relaxation.

- SG: P4/mmm, No. 123
- Crystal system: tetragonal
- Uncorrected formation energy: 1252 meV/atom

a = 2.903 Å, b = 2.903 Å, c = 8.719 Å
α = 90.00°, β = 90.00°, γ = 90.00°
Element x y z (fractional)
1 W 0.000 0.000 0.497
2 W 0.000 0.000 0.003
3 In 0.500 0.500 0.750
4 Br 0.500 0.500 0.250

Density functional theory data (GGA-PBE) for CdHCl after structural relaxation.

- SG: P2_1, No. 4
- Crystal system: monoclinic
- E_tot: -2.46 eV/atom

a = 4.767 Å, b = 5.981 Å, c = 7.137 Å
α = 103.04°, β = 131.90°, γ = 90.00°
Element x y z (fractional)
1 Cd 0.284 0.175 0.954
2 Cl 0.234 0.897 0.157
3 H 0.287 0.000 0.705
4 Cd 0.389 0.166 0.559
5 Cl 0.932 0.444 0.355
6 H 0.891 0.340 0.808

Density functional theory data (GGA-PBE) for RbRe3Mo after structural relaxation.

- SG: Pm-3m, No. 221
- Energy relative to the elements: 1097.0 kJ/mol of formula units
- Crystal system: cubic

a = 4.884 Å, b = 4.884 Å, c = 4.884 Å
α = 90.00°, β = 90.00°, γ = 90.00°
Site moments in Bohr magnetons follow the coordinates.
Element x y z (fractional)
1 Re 0.000 0.500 0.000  1.01
2 Re 0.500 0.000 0.000  0.86
3 Rb 0.500 0.500 0.500  0.03
4 Re 0.000 0.000 0.500  1.00
5 Mo 0.000 0.000 0.000  -0.22

Density functional theory data (GGA-PBE) for SmHoHg6 after structural relaxation.

- SG: P4/mmm, No. 123
- Energy relative to the elements: -246.3 kJ/mol of formula units
- Crystal system: tetragonal

a = 4.623 Å, b = 4.623 Å, c = 9.298 Å
α = 90.00°, β = 90.00°, γ = 90.00°
Element x y z (fractional)
1 Hg 0.500 0.000 0.746
2 Hg 0.000 0.500 0.254
3 Ho 0.000 0.000 0.500
4 Hg 0.000 0.500 0.746
5 Hg 0.500 0.500 0.000
6 Hg 0.500 0.500 0.500
7 Sm 0.000 0.000 0.000
8 Hg 0.500 0.000 0.254

Total magnetic moment: 0.000 0.000 0.000 0.000 0.000 0.000 0.287 0.000 0.000 0.000 0.641 0.000 (μB/atom)